Entry 1:
Sr2BeH2 after structural relaxation. Source: the Alexandria database, functional PBE-GGA.

POSCAR file:
```
Sr2BeH2
1.0
-3.7251 -5.7367 2.7513
5.7045 -4.4234 -1.4996
1.2867 0.6262 3.0477
H Sr Be
4 4 2
Direct
0.1230 0.3770 0.0000
0.6230 0.1230 0.0000
0.8770 0.6230 0.0000
0.3770 0.8770 0.0000
0.3175 0.1825 0.5000
0.6825 0.8175 0.5000
0.8175 0.3175 0.5000
0.1825 0.6825 0.5000
0.0000 0.0000 0.0000
0.5000 0.5000 0.0000
```

- Magnetic moment: 0.00 μB/cell
- Calculated total energy: -13.1 eV/f.u.

---

Entry 2:
SrBeH4 after structural relaxation. Source: the Alexandria database, functional PBE-GGA.

POSCAR file:
```
SrBeH4
1.0
6.1955 0.2421 0.0000
-1.4586 6.3693 0.0000
0.0000 0.0000 6.5973
H Be Sr
16 4 4
Direct
0.5695 0.5996 0.8352
0.6744 0.1715 0.1984
0.0728 0.2878 0.9593
0.5728 0.7878 0.5407
0.0695 0.0996 0.6648
0.4272 0.2122 0.4593
0.9272 0.7122 0.0407
0.2397 0.9859 0.1293
0.8256 0.3285 0.6984
0.9305 0.9004 0.3352
0.7397 0.4859 0.3707
0.3256 0.8285 0.8016
0.4305 0.4004 0.1648
0.7603 0.0141 0.8707
0.1744 0.6715 0.3016
0.2603 0.5141 0.6293
0.4307 0.6849 0.6931
0.0693 0.8151 0.1931
0.5693 0.3151 0.3069
0.9307 0.1849 0.8069
0.0648 0.2856 0.3246
0.5648 0.7856 0.1754
0.4352 0.2144 0.8246
0.9352 0.7144 0.6754
```

- Magnetic moment: 0.00 μB/cell
- Calculated total energy: -21.3 eV/f.u.

---

Entry 3:
SrBe2H6 after structural relaxation. Source: the Alexandria database, functional PBE-GGA.

POSCAR file:
```
SrBe2H6
1.0
4.0866 0.5762 1.5894
2.0023 6.5225 0.9358
0.6438 -0.1694 6.8545
H Sr Be
12 2 4
Direct
0.3455 0.4931 0.8844
0.8455 0.8844 0.4931
0.8629 0.5752 0.6878
0.6371 0.3122 0.4248
0.2166 0.0876 0.1640
0.3629 0.6878 0.5752
0.7834 0.9124 0.8360
0.7166 0.1640 0.0876
0.6545 0.5069 0.1156
0.1545 0.1156 0.5069
0.2834 0.8360 0.9124
0.1371 0.4248 0.3122
0.2500 0.1981 0.8019
0.7500 0.8019 0.1981
0.4539 0.6550 0.7665
0.5461 0.3450 0.2335
0.0461 0.2335 0.3450
0.9539 0.7665 0.6550
```

- Magnetic moment: 0.00 μB/cell
- Calculated total energy: -31.7 eV/f.u.

---

For reference, mass density by record: 3380 2546 2200 kg/m3.
For reference, DOS at the Fermi energy by record: 1.88 0.00 0.00 states/eV/cell.